DFT (PBE-GGA) results for Sc2CdO after structural relaxation.

Properties
energy: -6.071 eV/atom
SG: No. 122
DOS(E_F): 0.13 states/eV per atom
E_form (uncorrected): -33.1 kcal/mol of atoms

Cell lengths 5.9394, 5.9394, 5.9394 Å; angles 114.35, 114.35, 100.09 degrees
Fractional coordinates of all 8 atoms:
Sc 0.0086 0.6250 0.8836
Sc 0.3750 0.2586 0.3836
Sc 0.7414 0.1250 0.1164
Sc 0.8750 0.9914 0.6164
Cd 0.2500 0.7500 0.5000
Cd 0.5000 0.5000 0.0000
O 0.0000 0.0000 0.0000
O 0.7500 0.2500 0.5000